1.
This record from Alexandria via LeMat-Bulk describes crystalline Th2Si2BOs2 at its relaxed geometry. The functional is GGA-PBE.

- crystal system = monoclinic
- spin magnetization (μB per cell) = 0.00
- final energy (eV per atom) = -8.566
- ΔE_f (raw) (eV per atom) = -0.734

CIF file:
```
data_Th2Si2BOs2
_symmetry_space_group_name_H-M 'C 1 2/m 1'
_symmetry_Int_Tables_number 12
_symmetry_space_group_name_Hall '-C 2y'
_cell_length_a 11.015
_cell_length_b 4.246
_cell_length_c 7.133
_cell_angle_alpha 90.00
_cell_angle_beta 128.88
_cell_angle_gamma 90.00
loop_
_atom_site_label
_atom_site_type_symbol
_atom_site_fract_x
_atom_site_fract_y
_atom_site_fract_z
Th1 Th 0.066 0.000 0.327
Si1 Si 0.158 0.500 0.107
B1 B 0.000 0.500 0.500
Os1 Os 0.212 0.500 0.821
```

***

2.
This record from Alexandria via LeMat-Bulk describes crystalline YMg2Ag2 at its relaxed geometry. The functional is GGA-PBE.

- crystal system = tetragonal
- spin magnetization (μB per cell) = 0.00
- final energy (eV per atom) = -3.230
- energy of formation (eV/atom) = -0.159
- relative energy among the computed polymorphs (eV per atom) = 0.049

CIF file:
```
data_YMg2Ag2
_symmetry_space_group_name_H-M 'P 4/m b m'
_symmetry_Int_Tables_number 127
_symmetry_space_group_name_Hall '-P 4 2ab'
_cell_length_a 8.172
_cell_length_b 8.172
_cell_length_c 3.253
_cell_angle_alpha 90.00
_cell_angle_beta 90.00
_cell_angle_gamma 90.00
loop_
_atom_site_label
_atom_site_type_symbol
_atom_site_fract_x
_atom_site_fract_y
_atom_site_fract_z
Y1 Y 0.000 0.000 0.000
Mg1 Mg 0.161 0.339 0.500
Ag1 Ag 0.133 0.633 0.000
```

***

3.
This record from Alexandria via LeMat-Bulk describes crystalline NdFe2Si2B at its relaxed geometry. The functional is GGA-PBE.

- crystal system = tetragonal
- spin magnetization (μB per cell) = 0.00
- final energy (eV per atom) = -7.073
- ΔE_f (raw) (eV per atom) = -0.537

CIF file:
```
data_NdFe2Si2B
_symmetry_space_group_name_H-M 'P 4/m m m'
_symmetry_Int_Tables_number 123
_symmetry_space_group_name_Hall '-P 4 2'
_cell_length_a 3.922
_cell_length_b 3.922
_cell_length_c 5.338
_cell_angle_alpha 90.00
_cell_angle_beta 90.00
_cell_angle_gamma 90.00
loop_
_atom_site_label
_atom_site_type_symbol
_atom_site_fract_x
_atom_site_fract_y
_atom_site_fract_z
Nd1 Nd 0.000 0.000 0.000
Fe1 Fe 0.000 0.500 0.500
Si1 Si 0.500 0.500 0.237
B1 B 0.000 0.000 0.500
```

***

4.
This record from Alexandria via LeMat-Bulk describes crystalline Tl2Cd at its relaxed geometry. The functional is GGA-PBE.

- crystal system = tetragonal
- spin magnetization (μB per cell) = 0.00
- final energy (eV per atom) = -1.844
- energy of formation (eV/atom) = 0.039
- relative energy among the computed polymorphs (eV per atom) = 0.008

CIF file:
```
data_Tl2Cd
_symmetry_space_group_name_H-M 'I 4/m m m'
_symmetry_Int_Tables_number 139
_symmetry_space_group_name_Hall '-I 4 2'
_cell_length_a 3.742
_cell_length_b 3.742
_cell_length_c 12.300
_cell_angle_alpha 90.00
_cell_angle_beta 90.00
_cell_angle_gamma 90.00
loop_
_atom_site_label
_atom_site_type_symbol
_atom_site_fract_x
_atom_site_fract_y
_atom_site_fract_z
Tl1 Tl 0.000 0.000 0.158
Cd1 Cd 0.000 0.000 0.500
```

***

5.
This record from Alexandria via LeMat-Bulk describes crystalline Sc3Ni2 at its relaxed geometry. The functional is GGA-PBE.

- crystal system = trigonal
- spin magnetization (μB per cell) = 0.00
- final energy (eV per atom) = -6.471
- energy of formation (eV/atom) = -0.359
- relative energy among the computed polymorphs (eV per atom) = 0.022

CIF file:
```
data_Sc3Ni2
_symmetry_space_group_name_H-M 'P -3 m 1'
_symmetry_Int_Tables_number 164
_symmetry_space_group_name_Hall '-P 3 2"'
_cell_length_a 4.4361
_cell_length_b 4.4361
_cell_length_c 5.4538
_cell_angle_alpha 90.00
_cell_angle_beta 90.00
_cell_angle_gamma 120.00
loop_
_atom_site_label
_atom_site_type_symbol
_atom_site_fract_x
_atom_site_fract_y
_atom_site_fract_z
Sc1 Sc 0.0000 0.0000 0.0000
Sc2 Sc 0.3333 0.6667 0.3369
Ni1 Ni 0.3333 0.6667 0.8473
```

***

6.
This record from Alexandria via LeMat-Bulk describes crystalline PrHo6Sc4 at its relaxed geometry. The functional is GGA-PBE.

- crystal system = orthorhombic
- spin magnetization (μB per cell) = 0.00
- final energy (eV per atom) = -5.120
- energy of formation (eV/atom) = 0.114
- relative energy among the computed polymorphs (eV per atom) = 0.000

CIF file:
```
data_PrHo6Sc4
_symmetry_space_group_name_H-M 'C m c m'
_symmetry_Int_Tables_number 63
_symmetry_space_group_name_Hall '-C 2c 2'
_cell_length_a 5.466
_cell_length_b 9.436
_cell_length_c 24.939
_cell_angle_alpha 90.00
_cell_angle_beta 90.00
_cell_angle_gamma 90.00
loop_
_atom_site_label
_atom_site_type_symbol
_atom_site_fract_x
_atom_site_fract_y
_atom_site_fract_z
Pr1 Pr 0.000 0.170 0.250
Ho1 Ho 0.000 0.163 0.677
Ho2 Ho 0.000 0.170 0.096
Ho3 Ho 0.000 0.496 0.750
Ho4 Ho 0.000 0.500 0.000
Sc1 Sc 0.000 0.165 0.543
Sc2 Sc 0.000 0.496 0.623
```

***

7.
This record from Alexandria via LeMat-Bulk describes crystalline HfCoMo at its relaxed geometry. The functional is GGA-PBE.

- crystal system = orthorhombic
- spin magnetization (μB per cell) = 0.00
- final energy (eV per atom) = -9.214
- energy of formation (eV/atom) = 0.083

CIF file:
```
data_HfCoMo
_symmetry_space_group_name_H-M 'I m a 2'
_symmetry_Int_Tables_number 46
_symmetry_space_group_name_Hall 'I 2 -2a'
_cell_length_a 8.284
_cell_length_b 11.043
_cell_length_c 6.372
_cell_angle_alpha 90.00
_cell_angle_beta 90.00
_cell_angle_gamma 90.00
loop_
_atom_site_label
_atom_site_type_symbol
_atom_site_fract_x
_atom_site_fract_y
_atom_site_fract_z
Hf1 Hf 0.250 0.000 0.000
Hf2 Hf 0.250 0.220 0.341
Hf3 Hf 0.250 0.720 0.841
Co1 Co 0.000 0.000 0.326
Co2 Co 0.000 0.117 0.678
Mo1 Mo 0.000 0.166 0.061
Mo2 Mo 0.250 0.000 0.560
```

***

8.
This record from Alexandria via LeMat-Bulk describes crystalline Na2CoCu2 at its relaxed geometry. The functional is GGA-PBE.

- crystal system = tetragonal
- spin magnetization (μB per cell) = 3.10
- final energy (eV per atom) = -3.127
- energy of formation (eV/atom) = 0.460

CIF file:
```
data_Na2CoCu2
_symmetry_space_group_name_H-M 'P 4/m b m'
_symmetry_Int_Tables_number 127
_symmetry_space_group_name_Hall '-P 4 2ab'
_cell_length_a 6.109
_cell_length_b 6.109
_cell_length_c 4.826
_cell_angle_alpha 90.00
_cell_angle_beta 90.00
_cell_angle_gamma 90.00
loop_
_atom_site_label
_atom_site_type_symbol
_atom_site_fract_x
_atom_site_fract_y
_atom_site_fract_z
Na1 Na 0.181 0.319 0.000
Co1 Co 0.000 0.000 0.500
Cu1 Cu 0.138 0.638 0.500
```